(1)
## AcYI2O8 (GGA-PBE)

Data for a relaxed AcYI2O8 crystal.

abc: 6.2788 6.2788 7.1660
angles: 90.00 90.00 120.00
Last column: nearest neighbours and their distance in Å.
Sites, in units of the cell vectors:
Ac1 0.0000 0.0000 0.0000  6 O 2.59
Y1 0.0000 0.0000 0.5000  6 O 2.28
I1 0.3333 0.6667 0.2758  4 O 1.81-1.98
I2 0.6667 0.3333 0.7242  4 O 1.81-1.98
O1 0.1510 0.3020 0.2799  1 I 1.98
O2 0.1510 0.8490 0.2799  1 I 1.98
O3 0.3020 0.1510 0.7201  1 I 1.98
O4 0.3333 0.6667 0.0239  1 I 1.81
O5 0.6667 0.3333 0.9761  1 I 1.81
O6 0.6980 0.8490 0.2799  1 I 1.98
O7 0.8490 0.1510 0.7201  1 I 1.98
O8 0.8490 0.6980 0.7201  1 I 1.98

Output
Size of the total moment in μB per cell: 0.000
Crystal system: trigonal
SG: P-3m1, No. 164
Formation energy from raw total energies in eV per atom: -1.58

***

(2)
## AcY2IO8 (GGA-PBE)

Data for a relaxed AcY2IO8 crystal.

abc: 5.0955 7.1471 5.1004
angles: 90.00 91.19 90.00
Last column: nearest neighbours and their distance in Å.
Sites, in units of the cell vectors:
Ac1 0.0000 0.0000 0.0000  6 O 2.36-2.56
Y1 0.5000 0.2507 0.5000  4 O 2.20-2.28
Y2 0.5000 0.7493 0.5000  4 O 2.20-2.28
I1 0.0000 0.5000 0.0000  6 O 1.91
O1 0.1846 0.3064 0.1857  1 I 1.91
O2 0.1846 0.6936 0.1857  1 I 1.91
O3 0.2635 0.5000 0.7382  1 I 1.91
O4 0.3248 0.0000 0.6775  2 Y 2.20, 1 Ac 2.36
O5 0.6752 0.0000 0.3225  2 Y 2.20, 1 Ac 2.36
O6 0.7365 0.5000 0.2618  1 I 1.91
O7 0.8154 0.3064 0.8143  1 I 1.91
O8 0.8154 0.6936 0.8143  1 I 1.91

Output
Size of the total moment in μB per cell: 0.000
Crystal system: monoclinic
SG: P2/m, No. 10
Formation energy from raw total energies in eV per atom: -2.28

***

(3)
## Ac2YIO8 (GGA-PBE)

Data for a relaxed Ac2YIO8 crystal.

abc: 5.3363 5.3430 7.1716
angles: 90.00 90.01 91.87
Last column: nearest neighbours and their distance in Å.
Sites, in units of the cell vectors:
Ac1 0.0008 0.0007 0.2550  6 O 2.37-2.56
Ac2 0.9992 0.9993 0.7450  6 O 2.37-2.56
Y1 0.5000 0.5000 0.0000  2 O 2.20
I1 0.5000 0.5000 0.5000  6 O 1.88-1.94
O1 0.2032 0.2050 0.9995  1 Y 2.20, 2 Ac 2.37-2.38
O2 0.2446 0.2487 0.5009  1 I 1.88
O3 0.3322 0.6692 0.2982  1 I 1.94
O4 0.3334 0.6706 0.7017  1 I 1.94
O5 0.6666 0.3294 0.2983  1 I 1.94
O6 0.6678 0.3308 0.7018  1 I 1.94
O7 0.7554 0.7513 0.4991  1 I 1.88
O8 0.7968 0.7950 0.0005  1 Y 2.20, 2 Ac 2.37-2.38

Output
Size of the total moment in μB per cell: 0.000
Crystal system: triclinic
SG: P-1, No. 2
Formation energy from raw total energies in eV per atom: -2.24

***

(4)
## AcZr2IO8 (GGA-PBE)

Data for a relaxed AcZr2IO8 crystal.

abc: 5.1081 5.1081 6.9139
angles: 90.00 90.00 91.66
Last column: nearest neighbours and their distance in Å.
Sites, in units of the cell vectors:
Ac1 0.0000 0.0000 0.0000  6 O 2.42-2.45
Zr1 0.5000 0.5000 0.2525  6 O 2.11-2.24
Zr2 0.5000 0.5000 0.7475  6 O 2.11-2.24
I1 0.0000 0.0000 0.5000  6 O 2.09-2.22
O1 0.2056 0.2056 0.2846  1 I 2.09, 1 Zr 2.11
O2 0.2056 0.2056 0.7154  1 I 2.09, 1 Zr 2.11
O3 0.3034 0.6966 0.5000  1 I 2.22, 2 Zr 2.24
O4 0.3307 0.6693 0.0000  2 Zr 2.14
O5 0.6693 0.3307 0.0000  2 Zr 2.14
O6 0.6966 0.3034 0.5000  1 I 2.22, 2 Zr 2.24
O7 0.7944 0.7944 0.2846  1 I 2.09, 1 Zr 2.11
O8 0.7944 0.7944 0.7154  1 I 2.09, 1 Zr 2.11

Output
Size of the total moment in μB per cell: 0.000
Crystal system: orthorhombic
SG: Cmmm, No. 65
Formation energy from raw total energies in eV per atom: -2.34

***

(5)
## Ac3OsI (GGA-PBE)

Data for a relaxed Ac3OsI crystal.

abc: 4.5026 7.6510 10.7724
angles: 90.00 90.00 90.00
Last column: nearest neighbours and their distance in Å.
Sites, in units of the cell vectors:
Ac1 0.2500 0.9999 0.1402  3 Os 2.98-3.22
Ac2 0.2500 0.2500 0.6145  1 Os 3.07
Ac3 0.2500 0.5001 0.1402  3 Os 2.98-3.22
Ac4 0.7500 0.0001 0.8598  3 Os 2.98-3.22
Ac5 0.7500 0.4999 0.8598  3 Os 2.98-3.22
Ac6 0.7500 0.7500 0.3855  1 Os 3.07
Os1 0.2500 0.2500 0.8995  7 Ac 2.98-3.22
Os2 0.7500 0.7500 0.1005  7 Ac 2.98-3.22
I1 0.2500 0.7500 0.6454  8 Ac 3.59-3.84
I2 0.7500 0.2500 0.3546  8 Ac 3.59-3.84

Output
Size of the total moment in μB per cell: 0.000
Crystal system: orthorhombic
SG: Pmmn, No. 59
Formation energy from raw total energies in eV per atom: -0.39

***

(6)
## Ac3OsI (GGA-PBE)

Data for a relaxed Ac3OsI crystal.

abc: 5.8895 5.8895 5.8895
angles: 90.00 90.00 90.00
Last column: nearest neighbours and their distance in Å.
Sites, in units of the cell vectors:
Ac1 0.0000 0.0000 0.5000  2 Os 2.94
Ac2 0.0000 0.5000 0.0000  2 Os 2.94
Ac3 0.5000 0.0000 0.0000  2 Os 2.94
Os1 0.0000 0.0000 0.0000  6 Ac 2.94
I1 0.5000 0.5000 0.5000  12 Ac 4.16

Output
Size of the total moment in μB per cell: 0.001
Crystal system: cubic
SG: Pm-3m, No. 221
Formation energy from raw total energies in eV per atom: -0.21

***

(7)
## Ac4Os2I5 (GGA-PBE)

Data for a relaxed Ac4Os2I5 crystal.

abc: 11.5251 11.5251 11.5251
angles: 157.35 132.86 52.91
Last column: nearest neighbours and their distance in Å.
Sites, in units of the cell vectors:
Ac1 0.1810 0.1810 0.0000  1 Os 2.55
Ac2 0.2057 0.5000 0.7057  4 Os 3.18, 2 I 3.53
Ac3 0.7943 0.5000 0.2943  4 Os 3.18, 2 I 3.53
Ac4 0.8190 0.8190 0.0000  1 Os 2.55
Os1 0.0576 0.0576 0.0000  1 Os 2.38, 1 Ac 2.55
Os2 0.9424 0.9424 0.0000  1 Os 2.38, 1 Ac 2.55
I1 0.1102 0.3290 0.7812  4 Ac 3.45-3.66
I2 0.4522 0.6710 0.7812  4 Ac 3.45-3.66
I3 0.5000 0.0000 0.5000  4 Ac 3.53
I4 0.5478 0.3290 0.2188  4 Ac 3.45-3.66
I5 0.8898 0.6710 0.2188  4 Ac 3.45-3.66

Output
Size of the total moment in μB per cell: 0.000
Crystal system: orthorhombic
SG: Immm, No. 71
Formation energy from raw total energies in eV per atom: -0.70

***

(8)
## Ac2Os2I (GGA-PBE)

Data for a relaxed Ac2Os2I crystal.

abc: 10.3873 10.3873 10.3873
angles: 130.77 55.73 155.53
Last column: nearest neighbours and their distance in Å.
Sites, in units of the cell vectors:
Ac1 0.3463 0.0000 0.8463  6 Os 3.11-3.35
Ac2 0.3463 0.5000 0.3463  6 Os 3.11-3.35
Ac3 0.6537 0.0000 0.1537  6 Os 3.11-3.35
Ac4 0.6537 0.5000 0.6537  6 Os 3.11-3.35
Os1 0.2244 0.2501 0.9743  2 Os 2.40
Os2 0.2242 0.7499 0.4743  2 Os 2.40
Os3 0.7758 0.2501 0.5257  2 Os 2.40
Os4 0.7756 0.7499 0.0257  2 Os 2.40
I1 0.3262 0.0762 0.2500  4 Ac 3.64
I2 0.6738 0.9238 0.7500  4 Ac 3.64

Output
Size of the total moment in μB per cell: 0.000
Crystal system: orthorhombic
SG: Imma, No. 74
Formation energy from raw total energies in eV per atom: -0.30